# ZrGaPdPt2 GGA-PBE optimized geometry
data_ZrGaPdPt2
_cell_length_a 4.9637
_cell_length_b 4.9637
_cell_length_c 4.3784
_cell_angle_alpha 90.00
_cell_angle_beta 90.00
_cell_angle_gamma 90.00
_symmetry_space_group_name_H-M 'P 4/m m m'
_symmetry_Int_Tables_number 123
_symmetry_space_group_name_Hall '-P 4 2'
loop_
_atom_site_label
_atom_site_type_symbol
_atom_site_fract_x
_atom_site_fract_y
_atom_site_fract_z
Zr1 Zr 0.0000 0.0000 0.0000
Ga1 Ga 0.5000 0.5000 0.0000
Pd1 Pd 0.5000 0.5000 0.5000
Pt1 Pt 0.0000 0.5000 0.5000
# * DFT formation energy: 442 meV per atom
# * calculated total energy: -26.6 eV per formula unit



# HgGeS2Cl GGA-PBE optimized geometry
data_HgGeS2Cl
_cell_length_a 4.7941
_cell_length_b 4.7941
_cell_length_c 4.9097
_cell_angle_alpha 90.00
_cell_angle_beta 90.00
_cell_angle_gamma 90.00
_symmetry_space_group_name_H-M 'P 4/m m m'
_symmetry_Int_Tables_number 123
_symmetry_space_group_name_Hall '-P 4 2'
loop_
_atom_site_label
_atom_site_type_symbol
_atom_site_fract_x
_atom_site_fract_y
_atom_site_fract_z
Hg1 Hg 0.0000 0.0000 0.0000
Ge1 Ge 0.5000 0.5000 0.5000
S1 S 0.0000 0.5000 0.5000
Cl1 Cl 0.5000 0.5000 0.0000
# * offset from the most stable computed form: 0 meV/atom
# * raw formation energy: 0.126 eV per atom
# * calculated total energy: -14.4 eV per formula unit



# Rb2CdSeBr6 GGA-PBE optimized geometry
data_Rb2CdSeBr6
_cell_length_a 7.8820
_cell_length_b 7.8820
_cell_length_c 11.9961
_cell_angle_alpha 90.00
_cell_angle_beta 90.00
_cell_angle_gamma 90.00
_symmetry_space_group_name_H-M 'I 4/m m m'
_symmetry_Int_Tables_number 139
_symmetry_space_group_name_Hall '-I 4 2'
loop_
_atom_site_label
_atom_site_type_symbol
_atom_site_fract_x
_atom_site_fract_y
_atom_site_fract_z
Rb1 Rb 0.0000 0.5000 0.2500
Cd1 Cd 0.0000 0.0000 0.0000
Se1 Se 0.0000 0.0000 0.5000
Br1 Br 0.0000 0.0000 0.2136
Br2 Br 0.2338 0.2338 0.5000
# * raw formation energy: -0.933 eV per atom
# * calculated total energy: -25.7 eV per formula unit



# NbGa3Tc GGA-PBE optimized geometry
data_NbGa3Tc
_cell_length_a 6.6996
_cell_length_b 7.6708
_cell_length_c 6.8076
_cell_angle_alpha 90.00
_cell_angle_beta 90.00
_cell_angle_gamma 90.00
_symmetry_space_group_name_H-M 'P n m a'
_symmetry_Int_Tables_number 62
_symmetry_space_group_name_Hall '-P 2ac 2n'
loop_
_atom_site_label
_atom_site_type_symbol
_atom_site_fract_x
_atom_site_fract_y
_atom_site_fract_z
Nb1 Nb 0.2140 0.2500 0.0935
Ga1 Ga 0.0118 0.7500 0.2533
Ga2 Ga 0.1421 0.5482 0.8764
Tc1 Tc 0.0000 0.0000 0.5000
# * offset from the most stable computed form: 0 meV/atom
# * DFT formation energy: 31 meV per atom
# * calculated total energy: -29.4 eV per formula unit



# Dy4Sb2O GGA-PBE optimized geometry
data_Dy4Sb2O
_cell_length_a 4.5048
_cell_length_b 4.5048
_cell_length_c 16.8596
_cell_angle_alpha 90.00
_cell_angle_beta 90.00
_cell_angle_gamma 90.00
_symmetry_space_group_name_H-M 'I 4/m m m'
_symmetry_Int_Tables_number 139
_symmetry_space_group_name_Hall '-I 4 2'
loop_
_atom_site_label
_atom_site_type_symbol
_atom_site_fract_x
_atom_site_fract_y
_atom_site_fract_z
Dy1 Dy 0.0000 0.0000 0.1779
Dy2 Dy 0.0000 0.5000 0.0000
Sb1 Sb 0.0000 0.0000 0.3623
O1 O 0.0000 0.0000 0.0000
# * offset from the most stable computed form: 6 meV/atom
# * raw formation energy: -1.433 eV per atom
# * calculated total energy: -41.6 eV per formula unit



# TlOs2Pt GGA-PBE optimized geometry
data_TlOs2Pt
_cell_length_a 6.4081
_cell_length_b 6.4081
_cell_length_c 6.4081
_cell_angle_alpha 90.00
_cell_angle_beta 90.00
_cell_angle_gamma 90.00
_symmetry_space_group_name_H-M 'F m -3 m'
_symmetry_Int_Tables_number 225
_symmetry_space_group_name_Hall '-F 4 2 3'
loop_
_atom_site_label
_atom_site_type_symbol
_atom_site_fract_x
_atom_site_fract_y
_atom_site_fract_z
Tl1 Tl 0.0000 0.0000 0.0000
Os1 Os 0.2500 0.2500 0.2500
Pt1 Pt 0.0000 0.0000 0.5000
# * offset from the most stable computed form: 523 meV/atom
# * DFT formation energy: 909 meV per atom
# * calculated total energy: -27.2 eV per formula unit



# TlInMo2 GGA-PBE optimized geometry
data_TlInMo2
_cell_length_a 5.8353
_cell_length_b 8.9641
_cell_length_c 2.8899
_cell_angle_alpha 90.00
_cell_angle_beta 90.00
_cell_angle_gamma 90.00
_symmetry_space_group_name_H-M 'C m m m'
_symmetry_Int_Tables_number 65
_symmetry_space_group_name_Hall '-C 2 2'
loop_
_atom_site_label
_atom_site_type_symbol
_atom_site_fract_x
_atom_site_fract_y
_atom_site_fract_z
Tl1 Tl 0.0000 0.0000 0.0000
In1 In 0.0000 0.5000 0.0000
Mo1 Mo 0.2500 0.2500 0.5000
# * offset from the most stable computed form: 435 meV/atom
# * DFT formation energy: 761 meV per atom
# * calculated total energy: -23.7 eV per formula unit



# AgHgSe2 GGA-PBE optimized geometry
data_AgHgSe2
_cell_length_a 3.0436
_cell_length_b 3.0436
_cell_length_c 33.6047
_cell_angle_alpha 90.00
_cell_angle_beta 90.00
_cell_angle_gamma 120.00
_symmetry_space_group_name_H-M 'R 3 m'
_symmetry_Int_Tables_number 160
_symmetry_space_group_name_Hall 'R 3 -2"'
loop_
_atom_site_label
_atom_site_type_symbol
_atom_site_fract_x
_atom_site_fract_y
_atom_site_fract_z
Ag1 Ag 0.0000 0.0000 0.0000
Hg1 Hg 0.0000 0.0000 0.2600
Se1 Se 0.0000 0.0000 0.5082
Se2 Se 0.0000 0.0000 0.7345
# * raw formation energy: 0.312 eV per atom
# * calculated total energy: -8.9 eV per formula unit



# RbTc2NiPb GGA-PBE optimized geometry
data_RbTc2NiPb
_cell_length_a 4.7957
_cell_length_b 4.7957
_cell_length_c 5.4497
_cell_angle_alpha 90.00
_cell_angle_beta 90.00
_cell_angle_gamma 90.00
_symmetry_space_group_name_H-M 'P 4/m m m'
_symmetry_Int_Tables_number 123
_symmetry_space_group_name_Hall '-P 4 2'
loop_
_atom_site_label
_atom_site_type_symbol
_atom_site_fract_x
_atom_site_fract_y
_atom_site_fract_z
Rb1 Rb 0.0000 0.0000 0.0000
Tc1 Tc 0.0000 0.5000 0.5000
Ni1 Ni 0.0000 0.0000 0.5000
Pb1 Pb 0.5000 0.5000 0.0000
# * DFT formation energy: 1524 meV per atom
# * calculated total energy: -23.6 eV per formula unit



# Pu3SnAs2Pd9 GGA-PBE optimized geometry
data_Pu3SnAs2Pd9
_cell_length_a 6.5875
_cell_length_b 6.5875
_cell_length_c 9.0982
_cell_angle_alpha 90.00
_cell_angle_beta 90.00
_cell_angle_gamma 120.00
_symmetry_space_group_name_H-M 'P -3 m 1'
_symmetry_Int_Tables_number 164
_symmetry_space_group_name_Hall '-P 3 2"'
loop_
_atom_site_label
_atom_site_type_symbol
_atom_site_fract_x
_atom_site_fract_y
_atom_site_fract_z
Pu1 Pu 0.0000 0.0000 0.0000
Pu2 Pu 0.3333 0.6667 0.7291
Sn1 Sn 0.0000 0.0000 0.5000
As1 As 0.3333 0.6667 0.1791
Pd1 Pd 0.0000 0.5000 0.0000
Pd2 Pd 0.1398 0.2796 0.2686
# * DFT formation energy: -323 meV per atom
# * calculated total energy: -107.9 eV per formula unit



# ZrInNiSe3 GGA-PBE optimized geometry
data_ZrInNiSe3
_cell_length_a 8.8923
_cell_length_b 3.7846
_cell_length_c 9.2828
_cell_angle_alpha 90.00
_cell_angle_beta 111.96
_cell_angle_gamma 90.00
_symmetry_space_group_name_H-M 'P 1 21/m 1'
_symmetry_Int_Tables_number 11
_symmetry_space_group_name_Hall '-P 2yb'
loop_
_atom_site_label
_atom_site_type_symbol
_atom_site_fract_x
_atom_site_fract_y
_atom_site_fract_z
Zr1 Zr 0.1922 0.2500 0.1682
In1 In 0.2832 0.7500 0.7659
Ni1 Ni 0.4116 0.7500 0.4032
Se1 Se 0.0375 0.2500 0.8433
Se2 Se 0.2962 0.2500 0.4788
Se3 Se 0.3930 0.7500 0.1352
# * raw formation energy: -0.806 eV per atom
# * calculated total energy: -32.4 eV per formula unit



# CuSnSe3 GGA-PBE optimized geometry
data_CuSnSe3
_cell_length_a 12.9317
_cell_length_b 3.8732
_cell_length_c 10.4726
_cell_angle_alpha 90.00
_cell_angle_beta 97.67
_cell_angle_gamma 90.00
_symmetry_space_group_name_H-M 'C 1 2/m 1'
_symmetry_Int_Tables_number 12
_symmetry_space_group_name_Hall '-C 2y'
loop_
_atom_site_label
_atom_site_type_symbol
_atom_site_fract_x
_atom_site_fract_y
_atom_site_fract_z
Cu1 Cu 0.0196 0.0000 0.2017
Sn1 Sn 0.1759 0.5000 0.6200
Se1 Se 0.0699 0.5000 0.0868
Se2 Se 0.1206 0.0000 0.4152
Se3 Se 0.1688 0.0000 0.7970
# * offset from the most stable computed form: 0 meV/atom
# * raw formation energy: -0.195 eV per atom
# * calculated total energy: -19.5 eV per formula unit



# La3NdTlCo GGA-PBE optimized geometry
data_La3NdTlCo
_cell_length_a 17.2865
_cell_length_b 7.2045
_cell_length_c 6.1742
_cell_angle_alpha 90.00
_cell_angle_beta 110.23
_cell_angle_gamma 90.00
_symmetry_space_group_name_H-M 'C 1 2/m 1'
_symmetry_Int_Tables_number 12
_symmetry_space_group_name_Hall '-C 2y'
loop_
_atom_site_label
_atom_site_type_symbol
_atom_site_fract_x
_atom_site_fract_y
_atom_site_fract_z
La1 La 0.1181 0.2449 0.1148
La2 La 0.1939 0.5000 0.7049
Nd1 Nd 0.0000 0.2410 0.5000
Tl1 Tl 0.1918 0.0000 0.6938
Co1 Co 0.0312 0.5000 0.8456
# * DFT formation energy: -211 meV per atom
# * calculated total energy: -30.3 eV per formula unit



# LaYIn2 GGA-PBE optimized geometry
data_LaYIn2
_cell_length_a 7.7263
_cell_length_b 7.7263
_cell_length_c 7.7263
_cell_angle_alpha 90.00
_cell_angle_beta 90.00
_cell_angle_gamma 90.00
_symmetry_space_group_name_H-M 'F -4 3 m'
_symmetry_Int_Tables_number 216
_symmetry_space_group_name_Hall 'F -4 2 3'
loop_
_atom_site_label
_atom_site_type_symbol
_atom_site_fract_x
_atom_site_fract_y
_atom_site_fract_z
La1 La 0.0000 0.0000 0.0000
Y1 Y 0.2500 0.2500 0.2500
In1 In 0.0000 0.0000 0.5000
In2 In 0.2500 0.2500 0.7500
# * DFT formation energy: -46 meV per atom
# * calculated total energy: -17.1 eV per formula unit



# FeCuSe2 GGA-PBE optimized geometry
data_FeCuSe2
_cell_length_a 5.2471
_cell_length_b 3.2423
_cell_length_c 5.2589
_cell_angle_alpha 90.00
_cell_angle_beta 90.92
_cell_angle_gamma 90.00
_symmetry_space_group_name_H-M 'P 1 2/m 1'
_symmetry_Int_Tables_number 10
_symmetry_space_group_name_Hall '-P 2y'
loop_
_atom_site_label
_atom_site_type_symbol
_atom_site_fract_x
_atom_site_fract_y
_atom_site_fract_z
Fe1 Fe 0.0000 0.0000 0.0000
Cu1 Cu 0.5000 0.0000 0.0000
Se1 Se 0.2341 0.5000 0.2454
# * raw formation energy: 0.021 eV per atom
# * calculated total energy: -19.4 eV per formula unit



# Ba3Zn2InAg6 GGA-PBE optimized geometry
data_Ba3Zn2InAg6
_cell_length_a 6.8379
_cell_length_b 6.8379
_cell_length_c 8.7709
_cell_angle_alpha 90.00
_cell_angle_beta 90.00
_cell_angle_gamma 120.00
_symmetry_space_group_name_H-M 'P -3 m 1'
_symmetry_Int_Tables_number 164
_symmetry_space_group_name_Hall '-P 3 2"'
loop_
_atom_site_label
_atom_site_type_symbol
_atom_site_fract_x
_atom_site_fract_y
_atom_site_fract_z
Ba1 Ba 0.0000 0.0000 0.0000
Ba2 Ba 0.3333 0.6667 0.6677
Zn1 Zn 0.3333 0.6667 0.0616
In1 In 0.0000 0.0000 0.5000
Ag1 Ag 0.1929 0.3857 0.3050
# * DFT formation energy: -94 meV per atom
# * calculated total energy: -29.3 eV per formula unit



# Ho3CoRh GGA-PBE optimized geometry
data_Ho3CoRh
_cell_length_a 6.6547
_cell_length_b 6.6609
_cell_length_c 7.3271
_cell_angle_alpha 62.99
_cell_angle_beta 63.03
_cell_angle_gamma 60.04
_symmetry_space_group_name_H-M 'P -1'
_symmetry_Int_Tables_number 2
_symmetry_space_group_name_Hall '-P 1'
loop_
_atom_site_label
_atom_site_type_symbol
_atom_site_fract_x
_atom_site_fract_y
_atom_site_fract_z
Ho1 Ho 0.1004 0.2593 0.2421
Ho2 Ho 0.2403 0.1017 0.7577
Ho3 Ho 0.3987 0.5999 0.2424
Co1 Co 0.1761 0.6763 0.9714
Rh1 Rh 0.3266 0.8270 0.5197
# * offset from the most stable computed form: 83 meV/atom
# * DFT formation energy: -406 meV per atom
# * calculated total energy: -30.2 eV per formula unit



# CePm5Al6 GGA-PBE optimized geometry
data_CePm5Al6
_cell_length_a 16.5225
_cell_length_b 7.4018
_cell_length_c 5.2242
_cell_angle_alpha 90.00
_cell_angle_beta 108.37
_cell_angle_gamma 90.00
_symmetry_space_group_name_H-M 'C 1 2/m 1'
_symmetry_Int_Tables_number 12
_symmetry_space_group_name_Hall '-C 2y'
loop_
_atom_site_label
_atom_site_type_symbol
_atom_site_fract_x
_atom_site_fract_y
_atom_site_fract_z
Ce1 Ce 0.0000 0.0000 0.0000
Pm1 Pm 0.0000 0.5000 0.0000
Pm2 Pm 0.1645 0.0000 0.6648
Pm3 Pm 0.1676 0.5000 0.6679
Al1 Al 0.0000 0.2547 0.5000
Al2 Al 0.1677 0.2524 0.1682
# * DFT formation energy: -345 meV per atom
# * calculated total energy: -56.3 eV per formula unit



# LiGeP GGA-PBE optimized geometry
data_LiGeP
_cell_length_a 3.6101
_cell_length_b 3.6101
_cell_length_c 5.5077
_cell_angle_alpha 90.00
_cell_angle_beta 90.00
_cell_angle_gamma 120.00
_symmetry_space_group_name_H-M 'P 3 m 1'
_symmetry_Int_Tables_number 156
_symmetry_space_group_name_Hall 'P 3 -2"'
loop_
_atom_site_label
_atom_site_type_symbol
_atom_site_fract_x
_atom_site_fract_y
_atom_site_fract_z
Li1 Li 0.0000 0.0000 0.0000
Ge1 Ge 0.0000 0.0000 0.5139
P1 P 0.6667 0.3333 0.2888
# * offset from the most stable computed form: 2 meV/atom
# * DFT formation energy: -318 meV per atom
# * calculated total energy: -12.9 eV per formula unit



# BeP2SO GGA-PBE optimized geometry
data_BeP2SO
_cell_length_a 3.6549
_cell_length_b 3.6549
_cell_length_c 6.5115
_cell_angle_alpha 90.00
_cell_angle_beta 90.00
_cell_angle_gamma 90.00
_symmetry_space_group_name_H-M 'P 4/m m m'
_symmetry_Int_Tables_number 123
_symmetry_space_group_name_Hall '-P 4 2'
loop_
_atom_site_label
_atom_site_type_symbol
_atom_site_fract_x
_atom_site_fract_y
_atom_site_fract_z
Be1 Be 0.0000 0.0000 0.0000
P1 P 0.0000 0.5000 0.5000
S1 S 0.5000 0.5000 0.0000
O1 O 0.5000 0.5000 0.5000
# * offset from the most stable computed form: 577 meV/atom
# * raw formation energy: 0.708 eV per atom
# * calculated total energy: -20.1 eV per formula unit



# Nd8Bi2Te GGA-PBE optimized geometry
data_Nd8Bi2Te
_cell_length_a 18.9924
_cell_length_b 4.7424
_cell_length_c 8.2425
_cell_angle_alpha 90.00
_cell_angle_beta 92.37
_cell_angle_gamma 90.00
_symmetry_space_group_name_H-M 'C 1 2/m 1'
_symmetry_Int_Tables_number 12
_symmetry_space_group_name_Hall '-C 2y'
loop_
_atom_site_label
_atom_site_type_symbol
_atom_site_fract_x
_atom_site_fract_y
_atom_site_fract_z
Nd1 Nd 0.0036 0.0000 0.2524
Nd2 Nd 0.0979 0.5000 0.5149
Nd3 Nd 0.1634 0.5000 0.0457
Nd4 Nd 0.2149 0.0000 0.3643
Bi1 Bi 0.1741 0.0000 0.7722
Te1 Te 0.0000 0.5000 0.0000
# * raw formation energy: -0.521 eV per atom
# * calculated total energy: -54.8 eV per formula unit



# La6Pr3In GGA-PBE optimized geometry
data_La6Pr3In
_cell_length_a 10.0906
_cell_length_b 21.3838
_cell_length_c 6.5114
_cell_angle_alpha 90.00
_cell_angle_beta 90.00
_cell_angle_gamma 90.00
_symmetry_space_group_name_H-M 'C m c 21'
_symmetry_Int_Tables_number 36
_symmetry_space_group_name_Hall 'C 2c -2'
loop_
_atom_site_label
_atom_site_type_symbol
_atom_site_fract_x
_atom_site_fract_y
_atom_site_fract_z
La1 La 0.0000 0.0187 0.0000
La2 La 0.0000 0.2946 0.9662
La3 La 0.1860 0.2819 0.5090
La4 La 0.1888 0.4407 0.7260
Pr1 Pr 0.0000 0.4199 0.2541
Pr2 Pr 0.1662 0.1284 0.6595
In1 In 0.0000 0.1583 0.2118
# * offset from the most stable computed form: 12 meV/atom
# * DFT formation energy: -24 meV per atom
# * calculated total energy: -46.9 eV per formula unit



# Pm2BePd GGA-PBE optimized geometry
data_Pm2BePd
_cell_length_a 3.5950
_cell_length_b 3.5950
_cell_length_c 6.9546
_cell_angle_alpha 90.00
_cell_angle_beta 90.00
_cell_angle_gamma 90.00
_symmetry_space_group_name_H-M 'P 4/m m m'
_symmetry_Int_Tables_number 123
_symmetry_space_group_name_Hall '-P 4 2'
loop_
_atom_site_label
_atom_site_type_symbol
_atom_site_fract_x
_atom_site_fract_y
_atom_site_fract_z
Pm1 Pm 0.0000 0.0000 0.2433
Be1 Be 0.5000 0.5000 0.0000
Pd1 Pd 0.5000 0.5000 0.5000
# * offset from the most stable computed form: 0 meV/atom
# * DFT formation energy: -290 meV per atom
# * calculated total energy: -19.6 eV per formula unit